# ThBBr

A geometry-optimized ThBBr structure (PBE, the Alexandria database).

Lattice parameters (Å, degrees): 3.3793 3.7639 11.9948 80.98 89.95 90.00
Closest atoms and distances in Å follow each position.
Atoms (fractional coordinates):
Br 0.9213 0.9220 0.2511  2 Th 2.95
B 0.4315 0.7689 0.5578  2 B 1.82
B 0.9313 0.7401 0.6154  2 B 1.82
Br 0.4221 0.5869 0.9221  2 Th 2.95
Th 0.4306 0.1829 0.7299  6 B 2.77-2.87, 2 Br 2.95
Th 0.9314 0.3260 0.4434  6 B 2.77-2.87, 2 Br 2.95

The uncorrected formation energy is -2.68 eV/f.u. The calculation puts the total energy at -6.15 eV/atom. Its mass density is 7.1 Mg/m³. The density of states at the Fermi level is 0.273 states/eV per atom.